# 1
# Sm2Ho2Au3 PBE-GGA optimized geometry
# ρ ... 11.1 Mg/m³
# Energy ... -131.98 eV/cell
# DFT formation energy ... -0.653 eV per atom
# Crystal system ... cubic
data_Sm2Ho2Au3
_symmetry_space_group_name_H-M 'I 21 3'
_symmetry_Int_Tables_number 199
_symmetry_space_group_name_Hall 'I 2b 2c 3'
_cell_length_a 9.010
_cell_length_b 9.010
_cell_length_c 9.010
_cell_angle_alpha 90.00
_cell_angle_beta 90.00
_cell_angle_gamma 90.00
loop_
_atom_site_label
_atom_site_type_symbol
_atom_site_fract_x
_atom_site_fract_y
_atom_site_fract_z
Sm1 Sm 0.072 0.072 0.072
Ho1 Ho 0.182 0.318 0.682
Au1 Au 0.000 0.250 0.385

---

# 2
# SmHo5Au6 PBE-GGA optimized geometry
# ρ ... 12.8 Mg/m³
# Energy ... -115.14 eV/cell
# DFT formation energy ... -0.858 eV per atom
# Crystal system ... orthorhombic
data_SmHo5Au6
_symmetry_space_group_name_H-M 'I m m m'
_symmetry_Int_Tables_number 71
_symmetry_space_group_name_Hall '-I 2 2'
_cell_length_a 5.109
_cell_length_b 7.125
_cell_length_c 15.384
_cell_angle_alpha 90.00
_cell_angle_beta 90.00
_cell_angle_gamma 90.00
loop_
_atom_site_label
_atom_site_type_symbol
_atom_site_fract_x
_atom_site_fract_y
_atom_site_fract_z
Sm1 Sm 0.000 0.000 0.000
Ho1 Ho 0.000 0.000 0.333
Ho2 Ho 0.000 0.500 0.000
Ho3 Ho 0.000 0.500 0.334
Au1 Au 0.000 0.240 0.500
Au2 Au 0.000 0.255 0.170

---

# 3
# Sm5HoAu6 PBE-GGA optimized geometry
# ρ ... 11.8 Mg/m³
# Energy ... -115.06 eV/cell
# DFT formation energy ... -0.808 eV per atom
# Crystal system ... orthorhombic
data_Sm5HoAu6
_symmetry_space_group_name_H-M 'I m m m'
_symmetry_Int_Tables_number 71
_symmetry_space_group_name_Hall '-I 2 2'
_cell_length_a 5.189
_cell_length_b 7.262
_cell_length_c 15.617
_cell_angle_alpha 90.00
_cell_angle_beta 90.00
_cell_angle_gamma 90.00
loop_
_atom_site_label
_atom_site_type_symbol
_atom_site_fract_x
_atom_site_fract_y
_atom_site_fract_z
Sm1 Sm 0.000 0.000 0.000
Sm2 Sm 0.000 0.000 0.332
Sm3 Sm 0.000 0.500 0.334
Ho1 Ho 0.000 0.500 0.000
Au1 Au 0.000 0.238 0.500
Au2 Au 0.000 0.256 0.163

---

# 4
# Sm2HoAu PBE-GGA optimized geometry
# ρ ... 9.2 Mg/m³
# Energy ... -54.88 eV/cell
# DFT formation energy ... -0.250 eV per atom
# Crystal system ... trigonal
# ΔE to the lowest computed polymorph ... 3.804 kcal/mol of atoms
data_Sm2HoAu
_symmetry_space_group_name_H-M 'R -3 m'
_symmetry_Int_Tables_number 166
_symmetry_space_group_name_Hall '-R 3 2"'
_cell_length_a 3.6892
_cell_length_b 3.6892
_cell_length_c 30.5893
_cell_angle_alpha 90.00
_cell_angle_beta 90.00
_cell_angle_gamma 120.00
loop_
_atom_site_label
_atom_site_type_symbol
_atom_site_fract_x
_atom_site_fract_y
_atom_site_fract_z
Sm1 Sm 0.0000 0.0000 0.2389
Ho1 Ho 0.0000 0.0000 0.0000
Au1 Au 0.0000 0.0000 0.5000

---

# 5
# Sm2HoAu PBE-GGA optimized geometry
# ρ ... 9.3 Mg/m³
# Energy ... -75.81 eV/cell
# DFT formation energy ... -0.415 eV per atom
# Crystal system ... orthorhombic
# ΔE to the lowest computed polymorph ... 0.000 kcal/mol of atoms
data_Sm2HoAu
_symmetry_space_group_name_H-M 'P n m a'
_symmetry_Int_Tables_number 62
_symmetry_space_group_name_Hall '-P 2ac 2n'
_cell_length_a 7.059
_cell_length_b 9.959
_cell_length_c 6.725
_cell_angle_alpha 90.00
_cell_angle_beta 90.00
_cell_angle_gamma 90.00
loop_
_atom_site_label
_atom_site_type_symbol
_atom_site_fract_x
_atom_site_fract_y
_atom_site_fract_z
Sm1 Sm 0.197 0.055 0.190
Ho1 Ho 0.018 0.250 0.624
Au1 Au 0.093 0.750 0.961

---

# 6
# SmHoAu PBE-GGA optimized geometry
# ρ ... 10.4 Mg/m³
# Energy ... -86.17 eV/cell
# DFT formation energy ... -0.596 eV per atom
# Crystal system ... monoclinic
# ΔE to the lowest computed polymorph ... 0.493 kcal/mol of atoms
data_SmHoAu
_symmetry_space_group_name_H-M 'P 1 21/m 1'
_symmetry_Int_Tables_number 11
_symmetry_space_group_name_Hall '-P 2yb'
_cell_length_a 7.359
_cell_length_b 4.947
_cell_length_c 13.553
_cell_angle_alpha 90.00
_cell_angle_beta 92.66
_cell_angle_gamma 90.00
loop_
_atom_site_label
_atom_site_type_symbol
_atom_site_fract_x
_atom_site_fract_y
_atom_site_fract_z
Sm1 Sm 0.004 0.250 0.284
Sm2 Sm 0.384 0.250 0.081
Sm3 Sm 0.482 0.250 0.376
Ho1 Ho 0.040 0.750 0.087
Ho2 Ho 0.139 0.750 0.455
Ho3 Ho 0.339 0.250 0.782
Au1 Au 0.218 0.750 0.903
Au2 Au 0.256 0.250 0.565
Au3 Au 0.281 0.750 0.257

---

# 7
# SmHoAu PBE-GGA optimized geometry
# ρ ... 10.5 Mg/m³
# Energy ... -57.70 eV/cell
# DFT formation energy ... -0.617 eV per atom
# Crystal system ... orthorhombic
# ΔE to the lowest computed polymorph ... 0.000 kcal/mol of atoms
data_SmHoAu
_symmetry_space_group_name_H-M 'P n m a'
_symmetry_Int_Tables_number 62
_symmetry_space_group_name_Hall '-P 2ac 2n'
_cell_length_a 7.224
_cell_length_b 4.995
_cell_length_c 8.980
_cell_angle_alpha 90.00
_cell_angle_beta 90.00
_cell_angle_gamma 90.00
loop_
_atom_site_label
_atom_site_type_symbol
_atom_site_fract_x
_atom_site_fract_y
_atom_site_fract_z
Sm1 Sm 0.012 0.250 0.177
Ho1 Ho 0.149 0.250 0.581
Au1 Au 0.250 0.250 0.902

---

# 8
# SmHo3Au4 PBE-GGA optimized geometry
# ρ ... 12.7 Mg/m³
# Energy ... -115.09 eV/cell
# DFT formation energy ... -0.850 eV per atom
# Crystal system ... trigonal
data_SmHo3Au4
_symmetry_space_group_name_H-M 'R -3 m'
_symmetry_Int_Tables_number 166
_symmetry_space_group_name_Hall '-R 3 2"'
_cell_length_a 5.0941
_cell_length_b 5.0941
_cell_length_c 25.1082
_cell_angle_alpha 90.00
_cell_angle_beta 90.00
_cell_angle_gamma 120.00
loop_
_atom_site_label
_atom_site_type_symbol
_atom_site_fract_x
_atom_site_fract_y
_atom_site_fract_z
Sm1 Sm 0.0000 0.0000 0.0000
Ho1 Ho 0.0000 0.0000 0.2494
Ho2 Ho 0.0000 0.0000 0.5000
Au1 Au 0.0000 0.0000 0.1271
Au2 Au 0.0000 0.0000 0.3782

---

# 9
# SmHo2Au PBE-GGA optimized geometry
# ρ ... 9.8 Mg/m³
# Energy ... -75.18 eV/cell
# DFT formation energy ... -0.411 eV per atom
# Crystal system ... orthorhombic
# ΔE to the lowest computed polymorph ... 0.571 kcal/mol of atoms
data_SmHo2Au
_symmetry_space_group_name_H-M 'C m c m'
_symmetry_Int_Tables_number 63
_symmetry_space_group_name_Hall '-C 2c 2'
_cell_length_a 4.936
_cell_length_b 11.971
_cell_length_c 7.780
_cell_angle_alpha 90.00
_cell_angle_beta 90.00
_cell_angle_gamma 90.00
loop_
_atom_site_label
_atom_site_type_symbol
_atom_site_fract_x
_atom_site_fract_y
_atom_site_fract_z
Sm1 Sm 0.000 0.046 0.250
Ho1 Ho 0.000 0.355 0.036
Au1 Au 0.000 0.204 0.750

---

# 10
# Sm2HoAu PBE-GGA optimized geometry
# ρ ... 9.1 Mg/m³
# Energy ... -54.82 eV/cell
# DFT formation energy ... -0.245 eV per atom
# Crystal system ... trigonal
# ΔE to the lowest computed polymorph ... 3.919 kcal/mol of atoms
data_Sm2HoAu
_symmetry_space_group_name_H-M 'R 3 m'
_symmetry_Int_Tables_number 160
_symmetry_space_group_name_Hall 'R 3 -2"'
_cell_length_a 3.7388
_cell_length_b 3.7388
_cell_length_c 30.1122
_cell_angle_alpha 90.00
_cell_angle_beta 90.00
_cell_angle_gamma 120.00
loop_
_atom_site_label
_atom_site_type_symbol
_atom_site_fract_x
_atom_site_fract_y
_atom_site_fract_z
Sm1 Sm 0.0000 0.0000 0.0000
Sm2 Sm 0.0000 0.0000 0.1898
Ho1 Ho 0.0000 0.0000 0.4278
Au1 Au 0.0000 0.0000 0.5948

---

# 11
# SmHo2Au PBE-GGA optimized geometry
# ρ ... 9.5 Mg/m³
# Energy ... -54.87 eV/cell
# DFT formation energy ... -0.284 eV per atom
# Crystal system ... trigonal
# ΔE to the lowest computed polymorph ... 3.489 kcal/mol of atoms
data_SmHo2Au
_symmetry_space_group_name_H-M 'R -3 m'
_symmetry_Int_Tables_number 166
_symmetry_space_group_name_Hall '-R 3 2"'
_cell_length_a 3.6956
_cell_length_b 3.6956
_cell_length_c 29.9774
_cell_angle_alpha 90.00
_cell_angle_beta 90.00
_cell_angle_gamma 120.00
loop_
_atom_site_label
_atom_site_type_symbol
_atom_site_fract_x
_atom_site_fract_y
_atom_site_fract_z
Sm1 Sm 0.0000 0.0000 0.0000
Ho1 Ho 0.0000 0.0000 0.2354
Au1 Au 0.0000 0.0000 0.5000

---

# 12
# SmHoAu PBE-GGA optimized geometry
# ρ ... 10.4 Mg/m³
# Energy ... -28.29 eV/cell
# DFT formation energy ... -0.524 eV per atom
# Crystal system ... tetragonal
# ΔE to the lowest computed polymorph ... 2.148 kcal/mol of atoms
data_SmHoAu
_symmetry_space_group_name_H-M 'I 4 m m'
_symmetry_Int_Tables_number 107
_symmetry_space_group_name_Hall 'I 4 -2'
_cell_length_a 3.623
_cell_length_b 3.623
_cell_length_c 12.435
_cell_angle_alpha 90.00
_cell_angle_beta 90.00
_cell_angle_gamma 90.00
loop_
_atom_site_label
_atom_site_type_symbol
_atom_site_fract_x
_atom_site_fract_y
_atom_site_fract_z
Sm1 Sm 0.000 0.000 0.000
Ho1 Ho 0.000 0.000 0.289
Au1 Au 0.000 0.000 0.657

---

# 13
# Sm2Ho3Au2 PBE-GGA optimized geometry
# ρ ... 10.1 Mg/m³
# Energy ... -66.50 eV/cell
# DFT formation energy ... -0.503 eV per atom
# Crystal system ... monoclinic
data_Sm2Ho3Au2
_symmetry_space_group_name_H-M 'C 1 2/m 1'
_symmetry_Int_Tables_number 12
_symmetry_space_group_name_Hall '-C 2y'
_cell_length_a 12.816
_cell_length_b 3.730
_cell_length_c 9.189
_cell_angle_alpha 90.00
_cell_angle_beta 116.62
_cell_angle_gamma 90.00
loop_
_atom_site_label
_atom_site_type_symbol
_atom_site_fract_x
_atom_site_fract_y
_atom_site_fract_z
Sm1 Sm 0.151 0.000 0.313
Ho1 Ho 0.000 0.500 0.500
Ho2 Ho 0.114 0.500 0.946
Au1 Au 0.167 0.000 0.733

---

# 14
# Sm4HoAu5 PBE-GGA optimized geometry
# ρ ... 11.9 Mg/m³
# Energy ... -47.98 eV/cell
# DFT formation energy ... -0.814 eV per atom
# Crystal system ... tetragonal
data_Sm4HoAu5
_symmetry_space_group_name_H-M 'P 4/m m m'
_symmetry_Int_Tables_number 123
_symmetry_space_group_name_Hall '-P 4 2'
_cell_length_a 3.629
_cell_length_b 3.629
_cell_length_c 18.552
_cell_angle_alpha 90.00
_cell_angle_beta 90.00
_cell_angle_gamma 90.00
loop_
_atom_site_label
_atom_site_type_symbol
_atom_site_fract_x
_atom_site_fract_y
_atom_site_fract_z
Sm1 Sm 0.000 0.000 0.101
Sm2 Sm 0.000 0.000 0.303
Ho1 Ho 0.000 0.000 0.500
Au1 Au 0.500 0.500 0.000
Au2 Au 0.500 0.500 0.202
Au3 Au 0.500 0.500 0.407

---

# 15
# SmHo2Au6 PBE-GGA optimized geometry
# ρ ... 14.1 Mg/m³
# Energy ... -81.12 eV/cell
# DFT formation energy ... -0.780 eV per atom
# Crystal system ... monoclinic
data_SmHo2Au6
_symmetry_space_group_name_H-M 'C 1 2/m 1'
_symmetry_Int_Tables_number 12
_symmetry_space_group_name_Hall '-C 2y'
_cell_length_a 5.273
_cell_length_b 16.210
_cell_length_c 5.248
_cell_angle_alpha 90.00
_cell_angle_beta 119.30
_cell_angle_gamma 90.00
loop_
_atom_site_label
_atom_site_type_symbol
_atom_site_fract_x
_atom_site_fract_y
_atom_site_fract_z
Sm1 Sm 0.000 0.000 0.000
Ho1 Ho 0.000 0.334 0.500
Au1 Au 0.156 0.500 0.328
Au2 Au 0.164 0.168 0.830

---

# 16
# SmHoAu2 PBE-GGA optimized geometry
# ρ ... 11.9 Mg/m³
# Energy ... -38.55 eV/cell
# DFT formation energy ... -0.856 eV per atom
# Crystal system ... orthorhombic
data_SmHoAu2
_symmetry_space_group_name_H-M 'A m m 2'
_symmetry_Int_Tables_number 38
_symmetry_space_group_name_Hall 'A 2 -2'
_cell_length_a 4.724
_cell_length_b 3.759
_cell_length_c 11.101
_cell_angle_alpha 90.00
_cell_angle_beta 90.00
_cell_angle_gamma 90.00
loop_
_atom_site_label
_atom_site_type_symbol
_atom_site_fract_x
_atom_site_fract_y
_atom_site_fract_z
Sm1 Sm 0.000 0.000 0.000
Ho1 Ho 0.500 0.000 0.723
Au1 Au 0.000 0.000 0.272
Au2 Au 0.500 0.000 0.448

---

# 17
# SmHo2Au2 PBE-GGA optimized geometry
# ρ ... 10.6 Mg/m³
# Energy ... -23.46 eV/cell
# DFT formation energy ... -0.605 eV per atom
# Crystal system ... trigonal
# ΔE to the lowest computed polymorph ... 2.019 kcal/mol of atoms
data_SmHo2Au2
_symmetry_space_group_name_H-M 'P -3 m 1'
_symmetry_Int_Tables_number 164
_symmetry_space_group_name_Hall '-P 3 2"'
_cell_length_a 5.0098
_cell_length_b 5.0098
_cell_length_c 6.3060
_cell_angle_alpha 90.00
_cell_angle_beta 90.00
_cell_angle_gamma 120.00
loop_
_atom_site_label
_atom_site_type_symbol
_atom_site_fract_x
_atom_site_fract_y
_atom_site_fract_z
Sm1 Sm 0.0000 0.0000 0.0000
Ho1 Ho 0.3333 0.6667 0.6671
Au1 Au 0.3333 0.6667 0.2031

---

# 18
# SmHoAu PBE-GGA optimized geometry
# ρ ... 10.4 Mg/m³
# Energy ... -13.79 eV/cell
# DFT formation energy ... -0.404 eV per atom
# Crystal system ... trigonal
# ΔE to the lowest computed polymorph ... 4.917 kcal/mol of atoms
data_SmHoAu
_symmetry_space_group_name_H-M 'P 3 m 1'
_symmetry_Int_Tables_number 156
_symmetry_space_group_name_Hall 'P 3 -2"'
_cell_length_a 4.9184
_cell_length_b 4.9184
_cell_length_c 3.8984
_cell_angle_alpha 90.00
_cell_angle_beta 90.00
_cell_angle_gamma 120.00
loop_
_atom_site_label
_atom_site_type_symbol
_atom_site_fract_x
_atom_site_fract_y
_atom_site_fract_z
Sm1 Sm 0.0000 0.0000 0.0000
Ho1 Ho 0.3333 0.6667 0.5296
Au1 Au 0.6667 0.3333 0.3157

---

# 19
# Sm2HoAu PBE-GGA optimized geometry
# ρ ... 9.3 Mg/m³
# Energy ... -74.96 eV/cell
# DFT formation energy ... -0.361 eV per atom
# Crystal system ... orthorhombic
# ΔE to the lowest computed polymorph ... 1.238 kcal/mol of atoms
data_Sm2HoAu
_symmetry_space_group_name_H-M 'C m c m'
_symmetry_Int_Tables_number 63
_symmetry_space_group_name_Hall '-C 2c 2'
_cell_length_a 4.976
_cell_length_b 11.970
_cell_length_c 7.948
_cell_angle_alpha 90.00
_cell_angle_beta 90.00
_cell_angle_gamma 90.00
loop_
_atom_site_label
_atom_site_type_symbol
_atom_site_fract_x
_atom_site_fract_y
_atom_site_fract_z
Sm1 Sm 0.000 0.141 0.033
Ho1 Ho 0.000 0.458 0.250
Au1 Au 0.000 0.298 0.750

---

# 20
# SmHoAu PBE-GGA optimized geometry
# ρ ... 9.5 Mg/m³
# Energy ... -55.32 eV/cell
# DFT formation energy ... -0.419 eV per atom
# Crystal system ... cubic
# ΔE to the lowest computed polymorph ... 4.579 kcal/mol of atoms
data_SmHoAu
_symmetry_space_group_name_H-M 'F -4 3 m'
_symmetry_Int_Tables_number 216
_symmetry_space_group_name_Hall 'F -4 2 3'
_cell_length_a 7.092
_cell_length_b 7.092
_cell_length_c 7.092
_cell_angle_alpha 90.00
_cell_angle_beta 90.00
_cell_angle_gamma 90.00
loop_
_atom_site_label
_atom_site_type_symbol
_atom_site_fract_x
_atom_site_fract_y
_atom_site_fract_z
Sm1 Sm 0.000 0.000 0.000
Ho1 Ho 0.000 0.000 0.500
Au1 Au 0.250 0.250 0.750